The following is a GGA-PBE calculation of a relaxed PrGeAuSe3 crystal, from OQMD via LeMat-Bulk.

```
PrGeAuSe3
1.0
2.012 -6.796 0.000
2.012 6.796 0.000
0.000 0.000 11.012
Pr Ge Au Se
2 2 2 6
Cartesian
0.000 0.000 0.000
0.000 0.000 5.506
2.012 3.915 8.259
2.012 -3.915 2.753
2.012 0.361 2.753
2.012 -0.361 8.259
2.012 5.397 2.753
2.012 2.106 0.781
2.012 2.106 4.725
2.012 -2.106 6.287
2.012 -2.106 10.230
2.012 -5.397 8.259
```

***

The following is a GGA-PBE calculation of a relaxed PrGeTe2AuSe crystal, from OQMD via LeMat-Bulk.

```
PrGeTe2AuSe
1.0
2.098 -7.310 0.000
2.098 7.310 0.000
0.000 0.000 10.795
Pr Ge Te Au Se
2 2 4 2 2
Cartesian
0.000 0.000 0.000
0.000 0.000 5.398
2.098 3.911 8.097
2.098 -3.911 2.699
2.098 2.337 0.754
2.098 2.337 4.644
2.098 -2.337 6.151
2.098 -2.337 10.042
2.098 0.313 2.699
2.098 -0.313 8.097
2.098 5.930 2.699
2.098 -5.930 8.097
```

***

The following is a GGA-PBE calculation of a relaxed PrGeTeAuSe2 crystal, from OQMD via LeMat-Bulk.

```
PrGeTeAuSe2
1.0
2.041 -6.990 0.000
2.041 6.990 0.000
0.000 0.000 11.439
Pr Ge Te Au Se
2 2 2 2 4
Cartesian
0.000 0.000 0.000
0.000 0.000 5.719
2.041 4.408 8.579
2.041 -4.408 2.860
2.041 5.433 2.860
2.041 -5.433 8.579
2.041 0.359 2.860
2.041 -0.359 8.579
2.041 2.060 0.810
2.041 2.060 4.909
2.041 -2.060 6.530
2.041 -2.060 10.629
```

***

Number 1: E_tot -4.5963 eV per atom. Number 2: E_tot -4.3398 eV per atom. Number 3: E_tot -4.4980 eV per atom.